! Na4PaCo3O8 PBE with a Hubbard U optimized geometry; values from VASP
&SYSTEM
  ibrav = 0, nat = 16, ntyp = 4
/
ATOMIC_SPECIES
Na 22.99 Na.upf
Pa 231.04 Pa.upf
Co 58.93 Co.upf
O 16.00 O.upf
ATOMIC_POSITIONS angstrom
Na -1.2326 2.8949 0.0794
Na 1.6788 2.4541 -1.0372
Na 0.0000 0.0000 0.0000
Na 2.9113 -0.4407 -1.1165
Pa -0.4951 -0.3004 3.2672
Co -1.7277 2.5945 3.3466
Co 1.1836 2.1537 2.2301
Co 2.4162 -0.7411 2.1507
O 4.4054 0.0927 2.5552
O 1.4900 0.5338 3.6695
O 2.2090 0.9145 0.9494
O 3.1714 2.9910 2.6346
O -0.8041 1.3165 1.8255
O 0.1583 3.3930 3.5107
O 0.8773 3.7737 0.7907
O -2.0381 4.2148 1.9049
CELL_PARAMETERS angstrom
-2.4651 5.7898 0.1588
-0.9902 -0.6008 6.5344
5.8226 -0.8815 -2.2331
! Space group: R-3m
! DFT total energy (eV/atom): -6.147
! Magnetic moment (μB/f.u.): 7.958